(1)
DFT (PBE-GGA) results for crystalline Mo3WI at its relaxed geometry.

The structure belongs to space group Pm-3m (No. 221); the cell edges are 4.7583, 4.7583 and 4.7583 Å and the angles 90.00°, 90.00° and 90.00°. The asymmetric unit holds Mo at (0.0000, 0.0000, 0.5000), W at (0.5000, 0.5000, 0.5000) and I at (0.0000, 0.0000, 0.0000).

The crystal system is cubic. The energy above the most stable polymorph in this dataset is 612 meV per atom.

=====

(2)
DFT (PBE-GGA) results for crystalline MnAsP2 at its relaxed geometry.

The structure belongs to space group I-4m2 (No. 119); the cell edges are 4.1065, 4.1065 and 6.4587 Å and the angles 90.00°, 90.00° and 90.00°. The asymmetric unit holds Mn at (0.0000, 0.0000, 0.0000), As at (0.0000, 0.5000, 0.2500), P at (0.0000, 0.0000, 0.5000) and P at (0.0000, 0.5000, 0.7500).

As for the formation energy: 547 meV per atom. The crystal system is tetragonal.